Entry from Alexandria: a relaxed structure of V4SnO12 (PBE with a Hubbard U).

Cell: 10.380 9.154 6.004 Å, 90.00 110.25 90.00°
Space group C2 (No. 5)
One atom of each set of equivalent atoms:
V1 0.197 0.000 0.481 (multiplicity 4)
V2 0.208 0.177 0.997 (multiplicity 4)
Sn1 0.000 0.667 0.500 (multiplicity 2)
O1 0.116 0.670 0.852 (multiplicity 4)
O2 0.128 0.504 0.446 (multiplicity 4)
O3 0.134 0.824 0.447 (multiplicity 4)
O4 0.135 0.094 0.205 (multiplicity 4)
O5 0.152 0.092 0.701 (multiplicity 4)
O6 0.163 0.347 0.966 (multiplicity 4)

Values from the calculation:
**DOS(E_F)**: 0.00 states/eV/f.u.
**Total energy**: -7.227 eV/atom